(1)
Sr2Li2Pb3: relaxed, PBE-GGA.

Computed properties:
size of the total moment: 0.0 Bohr magnetons per cell
energy of formation from the pure elements: -424 meV per atom
raw total energy: -3.04 eV/atom

Structure (CIF):
```
data_Sr2Li2Pb3
_cell_length_a 4.960
_cell_length_b 21.409
_cell_length_c 7.897
_cell_angle_alpha 90.00
_cell_angle_beta 90.00
_cell_angle_gamma 90.00
_space_group_name_H-M_alt 'C m c m'
_space_group_IT_number 63
_space_group_name_Hall '-C 2c 2'
loop_
_atom_site_label
_atom_site_type_symbol
_atom_site_fract_x
_atom_site_fract_y
_atom_site_fract_z
Sr1 Sr 0.000 0.052 0.250
Sr2 Sr 0.000 0.161 0.750
Li1 Li 0.000 0.306 0.564
Pb1 Pb 0.000 0.220 0.250
Pb2 Pb 0.000 0.433 0.058
```


(2)
SrLi2Pb9: relaxed, PBE-GGA.

Computed properties:
size of the total moment: 0.0 Bohr magnetons per cell
energy of formation from the pure elements: -135 meV per atom
raw total energy: -3.38 eV/atom

Structure (CIF):
```
data_SrLi2Pb9
_cell_length_a 13.167
_cell_length_b 13.167
_cell_length_c 8.599
_cell_angle_alpha 90.00
_cell_angle_beta 90.00
_cell_angle_gamma 90.00
_space_group_name_H-M_alt 'I 41/a m d'
_space_group_IT_number 141
loop_
_space_group_symop_operation_xyz
'x,y,z'
'-x,-y,-z'
'-y+1/4,x+3/4,z+1/4'
'y+1/4,-x+3/4,-z+1/4'
'-x+1/2,-y,z+1/2'
'x+1/2,y,-z+1/2'
'y+1/4,-x+1/4,z+3/4'
'-y+1/4,x+1/4,-z+3/4'
'x,-y,-z'
'-x,y,z'
'-y+1/4,-x+1/4,-z+3/4'
'y+1/4,x+1/4,z+3/4'
'-x+1/2,y,-z+1/2'
'x+1/2,-y,z+1/2'
'y+1/4,x+3/4,-z+1/4'
'-y+1/4,-x+3/4,z+1/4'
'x+1/2,y+1/2,z+1/2'
'-x+1/2,-y+1/2,-z+1/2'
'-y+3/4,x+1/4,z+3/4'
'y+3/4,-x+1/4,-z+3/4'
'-x,-y+1/2,z'
'x,y+1/2,-z'
'y+3/4,-x+3/4,z+1/4'
'-y+3/4,x+3/4,-z+1/4'
'x+1/2,-y+1/2,-z+1/2'
'-x+1/2,y+1/2,z+1/2'
'-y+3/4,-x+3/4,-z+1/4'
'y+3/4,x+3/4,z+1/4'
'-x,y+1/2,-z'
'x,-y+1/2,z'
'y+3/4,x+1/4,-z+3/4'
'-y+3/4,-x+1/4,z+3/4'
loop_
_atom_site_label
_atom_site_type_symbol
_atom_site_fract_x
_atom_site_fract_y
_atom_site_fract_z
Sr1 Sr 0.000 0.250 0.375
Li1 Li 0.000 0.000 0.000
Pb1 Pb 0.000 0.250 0.875
Pb2 Pb 0.124 0.055 0.682
```


(3)
Sr2LiPb8: relaxed, PBE-GGA.

Computed properties:
size of the total moment: 0.0 Bohr magnetons per cell
energy of formation from the pure elements: -289 meV per atom
raw total energy: -3.47 eV/atom

Structure (CIF):
```
data_Sr2LiPb8
_cell_length_a 5.033
_cell_length_b 5.033
_cell_length_c 13.332
_cell_angle_alpha 90.00
_cell_angle_beta 90.00
_cell_angle_gamma 90.00
_space_group_name_H-M_alt 'P 4/m m m'
_space_group_IT_number 123
_space_group_name_Hall '-P 4 2'
loop_
_atom_site_label
_atom_site_type_symbol
_atom_site_fract_x
_atom_site_fract_y
_atom_site_fract_z
Sr1 Sr 0.000 0.000 0.188
Li1 Li 0.000 0.000 0.500
Pb1 Pb 0.000 0.500 0.000
Pb2 Pb 0.000 0.500 0.376
Pb3 Pb 0.500 0.500 0.191
```


(4)
Sr2LiPb: relaxed, PBE-GGA.

Computed properties:
size of the total moment: 0.0 Bohr magnetons per cell
energy of formation from the pure elements: -208 meV per atom
raw total energy: -2.45 eV/atom

Structure (CIF):
```
data_Sr2LiPb
_cell_length_a 5.124
_cell_length_b 5.124
_cell_length_c 10.450
_cell_angle_alpha 90.00
_cell_angle_beta 90.00
_cell_angle_gamma 90.00
_space_group_name_H-M_alt 'I -4 m 2'
_space_group_IT_number 119
_space_group_name_Hall 'I -4 -2'
loop_
_atom_site_label
_atom_site_type_symbol
_atom_site_fract_x
_atom_site_fract_y
_atom_site_fract_z
Sr1 Sr 0.000 0.000 0.000
Sr2 Sr 0.000 0.500 0.250
Li1 Li 0.000 0.500 0.750
Pb1 Pb 0.000 0.000 0.500
```


(5)
Sr3Li4Pb4: relaxed, PBE-GGA.

Computed properties:
size of the total moment: 0.0 Bohr magnetons per cell
energy of formation from the pure elements: -416 meV per atom
raw total energy: -2.92 eV/atom

Structure (CIF):
```
data_Sr3Li4Pb4
_cell_length_a 31.576
_cell_length_b 5.081
_cell_length_c 3.964
_cell_angle_alpha 90.00
_cell_angle_beta 97.17
_cell_angle_gamma 90.00
_space_group_name_H-M_alt 'C 1 2/m 1'
_space_group_IT_number 12
_space_group_name_Hall '-C 2y'
loop_
_atom_site_label
_atom_site_type_symbol
_atom_site_fract_x
_atom_site_fract_y
_atom_site_fract_z
Sr1 Sr 0.000 0.000 0.000
Sr2 Sr 0.148 0.500 0.148
Li1 Li 0.096 0.000 0.595
Li2 Li 0.244 0.500 0.744
Pb1 Pb 0.051 0.500 0.551
Pb2 Pb 0.188 0.000 0.687
```


(6)
SrLi3Pb4: relaxed, PBE-GGA.

Computed properties:
size of the total moment: 0.0 Bohr magnetons per cell
energy of formation from the pure elements: -314 meV per atom
raw total energy: -3.10 eV/atom

Structure (CIF):
```
data_SrLi3Pb4
_cell_length_a 10.491
_cell_length_b 7.582
_cell_length_c 5.247
_cell_angle_alpha 90.00
_cell_angle_beta 90.00
_cell_angle_gamma 90.00
_space_group_name_H-M_alt 'P m m a'
_space_group_IT_number 51
_space_group_name_Hall '-P 2a 2a'
loop_
_atom_site_label
_atom_site_type_symbol
_atom_site_fract_x
_atom_site_fract_y
_atom_site_fract_z
Sr1 Sr 0.000 0.000 0.000
Li1 Li 0.000 0.500 0.000
Li2 Li 0.250 0.000 0.499
Li3 Li 0.250 0.500 0.497
Pb1 Pb 0.000 0.285 0.500
Pb2 Pb 0.250 0.286 0.998
```


(7)
Sr2LiPb: relaxed, PBE-GGA.

Computed properties:
size of the total moment: 0.0 Bohr magnetons per cell
energy of formation from the pure elements: 228 meV per atom
raw total energy: -2.02 eV/atom

Structure (CIF):
```
data_Sr2LiPb
_cell_length_a 3.819
_cell_length_b 6.426
_cell_length_c 13.451
_cell_angle_alpha 90.00
_cell_angle_beta 90.00
_cell_angle_gamma 90.00
_space_group_name_H-M_alt 'I m m m'
_space_group_IT_number 71
_space_group_name_Hall '-I 2 2'
loop_
_atom_site_label
_atom_site_type_symbol
_atom_site_fract_x
_atom_site_fract_y
_atom_site_fract_z
Sr1 Sr 0.000 0.000 0.249
Li1 Li 0.000 0.000 0.000
Pb1 Pb 0.000 0.000 0.500
```


(8)
Sr2LiPb9: relaxed, PBE-GGA.

Computed properties:
size of the total moment: 0.0 Bohr magnetons per cell
energy of formation from the pure elements: -264 meV per atom
raw total energy: -3.48 eV/atom

Structure (CIF):
```
data_Sr2LiPb9
_cell_length_a 5.002
_cell_length_b 5.002
_cell_length_c 14.793
_cell_angle_alpha 90.00
_cell_angle_beta 90.00
_cell_angle_gamma 90.00
_space_group_name_H-M_alt 'P 4/m m m'
_space_group_IT_number 123
_space_group_name_Hall '-P 4 2'
loop_
_atom_site_label
_atom_site_type_symbol
_atom_site_fract_x
_atom_site_fract_y
_atom_site_fract_z
Sr1 Sr 0.000 0.000 0.169
Li1 Li 0.000 0.000 0.500
Pb1 Pb 0.000 0.500 0.000
Pb2 Pb 0.000 0.500 0.346
Pb3 Pb 0.500 0.500 0.173
Pb4 Pb 0.500 0.500 0.500
```


(9)
Sr3Li2Pb5: relaxed, PBE-GGA.

Computed properties:
size of the total moment: 0.0 Bohr magnetons per cell
energy of formation from the pure elements: -449 meV per atom
raw total energy: -3.19 eV/atom

Structure (CIF):
```
data_Sr3Li2Pb5
_cell_length_a 11.420
_cell_length_b 11.420
_cell_length_c 4.610
_cell_angle_alpha 90.00
_cell_angle_beta 90.00
_cell_angle_gamma 90.00
_space_group_name_H-M_alt 'P 4/m b m'
_space_group_IT_number 127
_space_group_name_Hall '-P 4 2ab'
loop_
_atom_site_label
_atom_site_type_symbol
_atom_site_fract_x
_atom_site_fract_y
_atom_site_fract_z
Sr1 Sr 0.000 0.000 0.000
Sr2 Sr 0.176 0.324 0.000
Li1 Li 0.119 0.619 0.000
Pb1 Pb 0.000 0.500 0.500
Pb2 Pb 0.073 0.782 0.500
```


(10)
Sr3LiPb4: relaxed, PBE-GGA.

Computed properties:
size of the total moment: 0.0 Bohr magnetons per cell
energy of formation from the pure elements: -457 meV per atom
raw total energy: -3.18 eV/atom

Structure (CIF):
```
data_Sr3LiPb4
_cell_length_a 3.821
_cell_length_b 3.821
_cell_length_c 17.293
_cell_angle_alpha 90.00
_cell_angle_beta 90.00
_cell_angle_gamma 90.00
_space_group_name_H-M_alt 'P 4/m m m'
_space_group_IT_number 123
_space_group_name_Hall '-P 4 2'
loop_
_atom_site_label
_atom_site_type_symbol
_atom_site_fract_x
_atom_site_fract_y
_atom_site_fract_z
Sr1 Sr 0.000 0.000 0.000
Sr2 Sr 0.000 0.000 0.270
Li1 Li 0.000 0.000 0.500
Pb1 Pb 0.500 0.500 0.137
Pb2 Pb 0.500 0.500 0.407
```


(11)
Sr5Li4Pb4: relaxed, PBE-GGA.

Computed properties:
size of the total moment: 0.0 Bohr magnetons per cell
energy of formation from the pure elements: -425 meV per atom
raw total energy: -2.80 eV/atom

Structure (CIF):
```
data_Sr5Li4Pb4
_cell_length_a 14.024
_cell_length_b 14.024
_cell_length_c 4.205
_cell_angle_alpha 90.00
_cell_angle_beta 90.00
_cell_angle_gamma 90.00
_space_group_name_H-M_alt 'I 4/m'
_space_group_IT_number 87
_space_group_name_Hall '-I 4'
loop_
_atom_site_label
_atom_site_type_symbol
_atom_site_fract_x
_atom_site_fract_y
_atom_site_fract_z
Sr1 Sr 0.000 0.000 0.000
Sr2 Sr 0.130 0.784 0.500
Li1 Li 0.081 0.408 0.500
Pb1 Pb 0.061 0.257 0.000
```


(12)
Sr3Li5Pb6: relaxed, PBE-GGA.

Computed properties:
size of the total moment: 0.0 Bohr magnetons per cell
energy of formation from the pure elements: -383 meV per atom
raw total energy: -3.02 eV/atom

Structure (CIF):
```
data_Sr3Li5Pb6
_cell_length_a 4.941
_cell_length_b 14.575
_cell_length_c 10.641
_cell_angle_alpha 90.00
_cell_angle_beta 90.00
_cell_angle_gamma 90.00
_space_group_name_H-M_alt 'P m m n'
_space_group_IT_number 59
loop_
_space_group_symop_operation_xyz
'x,y,z'
'-x,-y,-z'
'-x+1/2,-y+1/2,z'
'x+1/2,y+1/2,-z'
'x+1/2,-y,-z'
'-x+1/2,y,z'
'-x,y+1/2,-z'
'x,-y+1/2,z'
loop_
_atom_site_label
_atom_site_type_symbol
_atom_site_fract_x
_atom_site_fract_y
_atom_site_fract_z
Sr1 Sr 0.250 0.047 0.245
Sr2 Sr 0.250 0.750 0.254
Li1 Li 0.250 0.096 0.618
Li2 Li 0.250 0.610 0.979
Li3 Li 0.250 0.750 0.729
Pb1 Pb 0.250 0.090 0.884
Pb2 Pb 0.250 0.250 0.077
Pb3 Pb 0.250 0.250 0.451
Pb4 Pb 0.250 0.592 0.526
```